Compound: TbY4Al2
Source: the Alexandria database
Functional: PBE-GGA
Structure: relaxed

Calculated values
- calculated density (g cm⁻³) = 4.263
- SG = R-3m (166)
- ΔH_f (0 K) (eV/f.u.) = 0.53
- total magnetic moment (μB/atom) = 0.0001
- excess energy over the best structure of this formula in the dataset (meV per atom) = 288.0

Lattice parameters (Å, degrees): 10.4870 10.4870 10.4870 27.79 27.79 27.79
Closest atoms and distances in Å follow each position.
Sites, in units of the cell vectors:
Tb 0.0000 0.0000 0.0000  2 Al 3.01
Y 0.2025 0.2025 0.2025  4 Al 3.06-3.11
Y 0.3971 0.3971 0.3971  3 Al 3.10
Y 0.6029 0.6029 0.6029  3 Al 3.10
Y 0.7975 0.7975 0.7975  4 Al 3.06-3.11
Al 0.0997 0.0997 0.0997  1 Tb 3.01, 7 Y 3.06-3.11
Al 0.9003 0.9003 0.9003  1 Tb 3.01, 7 Y 3.06-3.11


Compound: LaHoErTm2
Source: the Alexandria database
Functional: PBE-GGA
Structure: relaxed

Calculated values
- calculated density (g cm⁻³) = 7.975
- SG = Cmcm (63)
- ΔH_f (0 K) (eV/f.u.) = 1.83
- total magnetic moment (μB/atom) = 0.0003

Lattice parameters (Å, degrees): 8.9449 8.9449 6.3426 90.00 90.00 138.41
Closest atoms and distances in Å follow each position.
Sites, in units of the cell vectors:
La 0.1610 0.8390 0.7500  1 Ho 3.10, 2 Er 3.43
La 0.8390 0.1610 0.2500  1 Ho 3.10, 2 Er 3.43
Ho 0.3465 0.6535 0.7500  1 La 3.10, 4 Tm 3.41
Ho 0.6535 0.3465 0.2500  1 La 3.10, 4 Tm 3.41
Er 0.2396 0.7604 0.2500  4 La 3.43-3.58, 4 Ho 3.49-3.64
Er 0.7604 0.2396 0.7500  4 La 3.43-3.58, 4 Ho 3.49-3.64
Tm 0.2492 0.2492 0.0000  4 Tm 3.17-3.19, 2 Ho 3.41, 2 La 3.50
Tm 0.2492 0.2492 0.5000  4 Tm 3.17-3.19, 2 Ho 3.41, 2 La 3.50
Tm 0.7508 0.7508 0.0000  4 Tm 3.17-3.19, 2 Ho 3.41, 2 La 3.50
Tm 0.7508 0.7508 0.5000  4 Tm 3.17-3.19, 2 Ho 3.41, 2 La 3.50


Compound: NaThHgPt
Source: the Alexandria database
Functional: PBE-GGA
Structure: relaxed

Calculated values
- calculated density (g cm⁻³) = 11.523
- SG = F-43m (216)
- ΔH_f (0 K) (eV/f.u.) = -1.77
- total magnetic moment (μB/atom) = 0.0000

Lattice parameters (Å, degrees): 7.2118 7.2118 7.2118 90.00 90.00 90.00
Closest atoms and distances in Å follow each position.
Sites, in units of the cell vectors:
Na 0.0000 0.0000 0.0000  4 Pt 3.12, 4 Hg 3.12
Na 0.0000 0.5000 0.5000  4 Pt 3.12, 4 Hg 3.12
Na 0.5000 0.0000 0.5000  4 Pt 3.12, 4 Hg 3.12
Na 0.5000 0.5000 0.0000  4 Pt 3.12, 4 Hg 3.12
Th 0.0000 0.0000 0.5000  4 Hg 3.12, 4 Pt 3.12
Th 0.0000 0.5000 0.0000  4 Hg 3.12, 4 Pt 3.12
Th 0.5000 0.0000 0.0000  4 Hg 3.12, 4 Pt 3.12
Th 0.5000 0.5000 0.5000  4 Hg 3.12, 4 Pt 3.12
Hg 0.2500 0.2500 0.7500  4 Th 3.12, 4 Na 3.12
Hg 0.2500 0.7500 0.2500  4 Na 3.12, 4 Th 3.12
Hg 0.7500 0.2500 0.2500  4 Na 3.12, 4 Th 3.12
Hg 0.7500 0.7500 0.7500  4 Th 3.12, 4 Na 3.12
Pt 0.2500 0.2500 0.2500  4 Th 3.12, 4 Na 3.12
Pt 0.2500 0.7500 0.7500  4 Th 3.12, 4 Na 3.12
Pt 0.7500 0.2500 0.7500  4 Th 3.12, 4 Na 3.12
Pt 0.7500 0.7500 0.2500  4 Th 3.12, 4 Na 3.12


Compound: K2BiPdO4
Source: the Alexandria database
Functional: PBE-GGA
Structure: relaxed

Calculated values
- calculated density (g cm⁻³) = 5.380
- formation energy without anion corrections (eV per atom) = -1.00
- SG = I-4 (82)
- total magnetic moment (μB/atom) = 0.0018

Lattice parameters (Å, degrees): 6.3530 6.3530 6.9991 90.00 90.00 90.00
Closest atoms and distances in Å follow each position.
Sites, in units of the cell vectors:
K 0.0000 0.0000 0.0000  4 O 2.64
K 0.0000 0.5000 0.2500  4 O 2.70
K 0.5000 0.0000 0.7500  4 O 2.70
K 0.5000 0.5000 0.5000  4 O 2.64
Bi 0.0000 0.5000 0.7500  4 O 2.24
Bi 0.5000 0.0000 0.2500  4 O 2.24
Pd 0.0000 0.0000 0.5000  4 O 2.04
Pd 0.5000 0.5000 0.0000  4 O 2.04
O 0.1541 0.7236 0.5462  1 Pd 2.04, 1 Bi 2.24
O 0.2236 0.3459 0.9538  1 Pd 2.04, 1 Bi 2.24
O 0.2764 0.1541 0.4538  1 Pd 2.04, 1 Bi 2.24
O 0.3459 0.7764 0.0462  1 Pd 2.04, 1 Bi 2.24
O 0.6541 0.2236 0.0462  1 Pd 2.04, 1 Bi 2.24
O 0.7236 0.8459 0.4538  1 Pd 2.04, 1 Bi 2.24
O 0.7764 0.6541 0.9538  1 Pd 2.04, 1 Bi 2.24
O 0.8459 0.2764 0.5462  1 Pd 2.04, 1 Bi 2.24


Compound: Hg2BiS
Source: the Alexandria database
Functional: PBE-GGA
Structure: relaxed

Calculated values
- calculated density (g cm⁻³) = 9.380
- formation energy without anion corrections (eV per atom) = 0.14
- SG = R-3m (166)
- total magnetic moment (μB/atom) = 0.0000

Lattice parameters (Å, degrees): 3.7565 3.7565 27.9092 90.00 90.00 120.00
Closest atoms and distances in Å follow each position.
Sites, in units of the cell vectors:
Hg 0.0000 0.0000 0.1062  3 S 2.75, 1 Bi 2.96
Hg 0.0000 0.0000 0.8938  3 S 2.75, 1 Bi 2.96
Hg 0.3333 0.6667 0.5605  3 S 2.75, 1 Bi 2.96
Hg 0.3333 0.6667 0.7729  3 S 2.75, 1 Bi 2.96
Hg 0.6667 0.3333 0.2271  3 S 2.75, 1 Bi 2.96
Hg 0.6667 0.3333 0.4395  3 S 2.75, 1 Bi 2.96
Bi 0.0000 0.0000 0.0000  2 Hg 2.96
Bi 0.3333 0.6667 0.6667  2 Hg 2.96
Bi 0.6667 0.3333 0.3333  2 Hg 2.96
S 0.0000 0.0000 0.5000  6 Hg 2.75
S 0.3333 0.6667 0.1667  6 Hg 2.75
S 0.6667 0.3333 0.8333  6 Hg 2.75


Compound: YCuS2
Source: the Alexandria database
Functional: PBE-GGA
Structure: relaxed

Calculated values
- calculated density (g cm⁻³) = 5.017
- formation energy without anion corrections (eV per atom) = -0.97
- SG = Fm-3m (225)
- total magnetic moment (μB/atom) = 0.0000

Lattice parameters (Å, degrees): 6.5943 6.5943 6.5943 90.00 90.00 90.00
Closest atoms and distances in Å follow each position.
Sites, in units of the cell vectors:
Y 0.0000 0.0000 0.0000  8 S 2.86
Y 0.0000 0.5000 0.5000  8 S 2.86
Y 0.5000 0.0000 0.5000  8 S 2.86
Y 0.5000 0.5000 0.0000  8 S 2.86
Cu 0.0000 0.0000 0.5000  8 S 2.86
Cu 0.0000 0.5000 0.0000  8 S 2.86
Cu 0.5000 0.0000 0.0000  8 S 2.86
Cu 0.5000 0.5000 0.5000  8 S 2.86
S 0.2500 0.2500 0.2500  4 Cu 2.86, 4 Y 2.86
S 0.2500 0.2500 0.7500  4 Cu 2.86, 4 Y 2.86
S 0.2500 0.7500 0.2500  4 Cu 2.86, 4 Y 2.86
S 0.2500 0.7500 0.7500  4 Cu 2.86, 4 Y 2.86
S 0.7500 0.2500 0.2500  4 Cu 2.86, 4 Y 2.86
S 0.7500 0.2500 0.7500  4 Cu 2.86, 4 Y 2.86
S 0.7500 0.7500 0.2500  4 Cu 2.86, 4 Y 2.86
S 0.7500 0.7500 0.7500  4 Cu 2.86, 4 Y 2.86